A plane-wave DFT calculation with PBE with a Hubbard U was carried out for a relaxed Pm2PuNiO8 crystal.

* final energy: -7.89 eV per atom

Lattice parameters (Å, degrees): 4.2689 5.2855 7.5159 80.60 85.90 80.22
Closest atoms and distances in Å follow each position.
Sites, in units of the cell vectors:
1 Pm 0.0330 0.0574 0.2310  5 O 2.28-2.51
2 Pm 0.9670 0.9426 0.7690  5 O 2.28-2.51
3 Pu 0.5000 0.5000 0.5000  4 O 1.90-1.96
4 Ni 0.5000 0.5000 0.0000  4 O 1.81-1.91
5 O 0.0870 0.7247 0.5108  1 Pu 1.96
6 O 0.1667 0.7493 0.0407  1 Ni 1.81
7 O 0.4075 0.2207 0.6781  1 Pu 1.90
8 O 0.4605 0.3159 0.2396  1 Ni 1.91
9 O 0.5395 0.6841 0.7604  1 Ni 1.91
10 O 0.5925 0.7793 0.3219  1 Pu 1.90
11 O 0.8333 0.2507 0.9593  1 Ni 1.81
12 O 0.9130 0.2753 0.4892  1 Pu 1.96